Tc2SbAs | GGA-PBE | optimized geometry

Cell and atoms, written as POSCAR:
```
Tc2SbAs
1.0
-0.773 3.871 2.344
-3.986 2.223 -0.490
-3.047 0.035 3.434
Tc Sb As
2 1 1
direct
0.250 0.250 0.250
0.000 0.000 0.000
0.750 0.750 0.750
0.500 0.500 0.500
```

Calculated values
space group	F-43m, No. 216

Ta3GaSi | GGA-PBE | optimized geometry

Cell and atoms, written as POSCAR:
```
Ta3GaSi
1.0
-3.310 -3.180 0.714
-0.347 -0.669 -4.584
3.241 -3.319 0.239
Ga Ta Si
1 3 1
direct
0.500 0.500 0.500
0.500 0.000 0.000
0.000 0.500 0.000
0.000 0.000 0.500
0.000 0.000 0.000
```

Calculated values
space group	Pm-3m, No. 221

| no. | calculated density (kg/m3) | relative energy among the computed polymorphs (meV per atom) |
| --- | --- | --- |
| 1 | 9531 | 555.4 |
| 2 | 10615 | 0.0 |